Entry 1:
Compound: Na4Hg3Pb
Source: Alexandria
Functional: PBE
Structure: relaxed

Output
* energy of formation: -160 kJ/mol of formula units
* distance to the lowest polymorph of the same formula: 0.0 meV per atom
* crystal system: orthorhombic

abc: 3.4744 5.1355 12.2952
angles: 90.00 90.00 90.00
Closest atoms and distances in Å follow each position.
Sites, in units of the cell vectors:
1 Na 0.5000 0.5000 0.3435  6 Hg 3.27-3.34, 1 Pb 3.38, 2 Na 3.47
2 Na 0.0000 0.5000 0.8343  5 Hg 3.18-3.28, 2 Pb 3.36, 2 Na 3.47
3 Na 0.0000 0.0000 0.1677  3 Hg 3.21-3.49, 4 Pb 3.33, 2 Na 3.47
4 Na 0.5000 0.0000 0.6596  7 Hg 3.22-3.33, 2 Na 3.47
5 Hg 0.0000 0.5000 0.5760  4 Hg 3.14-3.47, 7 Na 3.18-3.34
6 Hg 0.0000 0.0000 0.4285  4 Hg 3.14-3.47, 7 Na 3.21-3.33
7 Hg 0.5000 0.0000 0.9218  2 Pb 3.14, 7 Na 3.22-3.49, 2 Hg 3.47
8 Pb 0.5000 0.5000 0.0686  2 Hg 3.14, 7 Na 3.33-3.38, 2 Pb 3.47

***

Entry 2:
Compound: AlVCl3
Source: Alexandria
Functional: PBE
Structure: relaxed

Output
* distance to the lowest polymorph of the same formula: 0.0 meV per atom
* crystal system: cubic
* ΔE_f (raw): -0.673 eV per atom

abc: 4.9312 4.9312 4.9312
angles: 90.00 90.00 90.00
Closest atoms and distances in Å follow each position.
Sites, in units of the cell vectors:
1 Cl 0.0000 0.5000 0.0000  2 V 2.47
2 Cl 0.0000 0.0000 0.5000  2 V 2.47
3 Cl 0.5000 0.0000 0.0000  2 V 2.47
4 Al 0.5000 0.5000 0.5000  12 Cl 3.49
5 V 0.0000 0.0000 0.0000  6 Cl 2.47

***

Entry 3:
Compound: Cs2TlPtCl
Source: Alexandria
Functional: PBE
Structure: relaxed

Output
* crystal system: tetragonal
* ΔE_f (raw): -0.663 eV per atom

abc: 6.6503 6.6503 5.2510
angles: 90.00 90.00 90.00
Closest atoms and distances in Å follow each position.
Sites, in units of the cell vectors:
1 Cs 0.0000 0.5000 0.0000  2 Pt 3.33
2 Cs 0.5000 0.0000 0.0000  2 Pt 3.33
3 Tl 0.0000 0.0000 0.5000  2 Pt 2.63
4 Pt 0.0000 0.0000 0.0000  2 Tl 2.63
5 Cl 0.5000 0.5000 0.5000  8 Cs 4.24, 4 Tl 4.70

***

Entry 4:
Compound: Rb3Mg2Cd9
Source: Alexandria
Functional: PBE
Structure: relaxed

Output
* energy of formation: -59 kJ/mol of formula units
* crystal system: orthorhombic

abc: 5.0237 9.8883 9.8883
angles: 77.24 75.28 75.28
Closest atoms and distances in Å follow each position.
Sites, in units of the cell vectors:
1 Rb 0.0000 0.0000 0.0000  4 Cd 3.95, 2 Rb 4.04
2 Rb 0.7237 0.2763 0.2763  10 Cd 3.64-3.96, 2 Mg 3.87, 1 Rb 4.04
3 Rb 0.2763 0.7237 0.7237  10 Cd 3.64-3.96, 2 Mg 3.87, 1 Rb 4.04
4 Mg 0.5000 0.3325 0.6675  8 Cd 3.01-3.25
5 Mg 0.5000 0.6675 0.3325  8 Cd 3.01-3.25
6 Cd 0.0000 0.5000 0.5000  4 Cd 3.01, 4 Mg 3.25
7 Cd 0.6850 0.0241 0.6060  3 Cd 2.94-3.01, 1 Mg 3.10
8 Cd 0.3150 0.9759 0.3940  3 Cd 2.94-3.01, 1 Mg 3.10
9 Cd 0.6850 0.6060 0.0241  3 Cd 2.94-3.01, 1 Mg 3.10
10 Cd 0.3150 0.3940 0.9759  3 Cd 2.94-3.01, 1 Mg 3.10
11 Cd 0.8913 0.8157 0.4018  5 Cd 2.94-3.18, 2 Mg 3.01
12 Cd 0.1087 0.1843 0.5982  5 Cd 2.94-3.18, 2 Mg 3.01
13 Cd 0.8913 0.4018 0.8157  5 Cd 2.94-3.18, 2 Mg 3.01
14 Cd 0.1087 0.5982 0.1843  5 Cd 2.94-3.18, 2 Mg 3.01

***

Entry 5:
Compound: HoZn12Ga6
Source: Alexandria
Functional: PBE
Structure: relaxed

Output
* energy of formation: 95 kJ/mol of formula units
* crystal system: trigonal

abc: 7.2471 7.2471 7.2471
angles: 103.40 103.40 103.40
Closest atoms and distances in Å follow each position.
Sites, in units of the cell vectors:
1 Ho 0.0000 0.0000 0.0000  6 Zn 3.04
2 Zn 0.8924 0.1076 0.5000  3 Zn 2.45-2.73, 2 Ga 2.58
3 Zn 0.8751 0.6374 0.6374  4 Zn 2.70-2.73, 4 Ga 2.74-2.84
4 Zn 0.6374 0.6374 0.8751  4 Zn 2.70-2.73, 4 Ga 2.74-2.84
5 Zn 0.3626 0.1249 0.3626  4 Zn 2.70-2.73, 4 Ga 2.74-2.84
6 Zn 0.3626 0.3626 0.1249  4 Zn 2.70-2.73, 4 Ga 2.74-2.84
7 Zn 0.1249 0.3626 0.3626  4 Zn 2.70-2.73, 4 Ga 2.74-2.84
8 Zn 0.1076 0.5000 0.8924  3 Zn 2.45-2.73, 2 Ga 2.58
9 Zn 0.5000 0.8924 0.1076  3 Zn 2.45-2.73, 2 Ga 2.58
10 Zn 0.1076 0.8924 0.5000  3 Zn 2.45-2.73, 2 Ga 2.58
11 Zn 0.8924 0.5000 0.1076  3 Zn 2.45-2.73, 2 Ga 2.58
12 Zn 0.5000 0.1076 0.8924  3 Zn 2.45-2.73, 2 Ga 2.58
13 Zn 0.6374 0.8751 0.6374  4 Zn 2.70-2.73, 4 Ga 2.74-2.84
14 Ga 0.7107 0.2982 0.2982  8 Zn 2.58-2.84
15 Ga 0.2982 0.2982 0.7107  8 Zn 2.58-2.84
16 Ga 0.2982 0.7107 0.2982  8 Zn 2.58-2.84
17 Ga 0.7018 0.7018 0.2893  8 Zn 2.58-2.84
18 Ga 0.2893 0.7018 0.7018  8 Zn 2.58-2.84
19 Ga 0.7018 0.2893 0.7018  8 Zn 2.58-2.84

***

Entry 6:
Compound: SnHSI
Source: Alexandria
Functional: PBE
Structure: relaxed

Output
* total DFT energy (no corrections): -3.540 eV/atom
* crystal system: triclinic

abc: 4.3759 5.7762 7.3760
angles: 113.81 73.01 136.99
Closest atoms and distances in Å follow each position.
Sites, in units of the cell vectors:
1 Sn 0.9370 0.1768 0.0095  2 S 2.74-2.78
2 H 0.5566 0.4552 0.6213  1 S 1.36
3 S 0.7117 0.5463 0.7967  1 H 1.36
4 I 0.7568 0.8113 0.3006  2 Sn 3.14-3.15, 2 H 3.22-3.27, 1 S 3.40